# 1
{
  "formula": "CeGd2Th",
  "functional": "PBE",
  "state": "optimized geometry",
  "spacegroup": "No. 225",
  "e_above_lowest_polymorph_ev_per_atom": 0.1229,
  "cell": [[5.669, 0.000, 0.000], [2.834, 4.909, 0.000], [2.834, 1.636, 4.629]],
  "species": ["Ce", "Gd", "Gd", "Th"],
  "frac_coords": [[0.500, 0.500, 0.500], [0.250, 0.250, 0.250], [0.750, 0.750, 0.750], [0.000, 0.000, 0.000]]
}

# 2
{
  "formula": "Sr2MoRu",
  "functional": "PBE",
  "state": "optimized geometry",
  "spacegroup": "No. 12",
  "e_above_lowest_polymorph_ev_per_atom": 0.2260,
  "cell": [[-9.428, -0.032, -0.509], [-8.867, -3.017, 1.195], [-0.956, 1.682, 3.261]],
  "species": ["Sr", "Sr", "Mo", "Ru"],
  "frac_coords": [[0.897, 0.897, 0.101], [0.603, 0.603, 0.399], [0.750, 0.750, 0.750], [0.250, 0.250, 0.250]]
}

# 3
{
  "formula": "Nb3SiSb",
  "functional": "PBE",
  "state": "optimized geometry",
  "e_form_raw_ev_per_atom": 1.6647,
  "spacegroup": "No. 221",
  "e_above_lowest_polymorph_ev_per_atom": 1.1523,
  "cell": [[5.010, 0.000, 0.000], [0.000, 5.010, 0.000], [0.000, 0.000, 5.010]],
  "species": ["Nb", "Nb", "Nb", "Si", "Sb"],
  "frac_coords": [[0.000, 0.000, 0.500], [0.000, 0.500, 0.000], [0.500, 0.000, 0.000], [0.500, 0.500, 0.500], [0.000, 0.000, 0.000]]
}

Number 1: M_tot 13.878 μB per formula unit, E_tot -40.69 eV for the cell shown. Number 2: M_tot 0.000 μB per formula unit, E_tot -21.51 eV for the cell shown. Number 3: M_tot 0.000 μB per formula unit, E_tot -31.43 eV for the cell shown.